Compound: TbCdPdRh
Source: the Alexandria database
Functional: PBE
Structure: relaxed

Unit cell a=4.749 b=4.749 c=4.749 alpha=60.00 beta=60.00 gamma=60.00
Positions (direct):
Rh: 0.500 0.500 0.500
Tb: 0.250 0.250 0.250
Pd: 0.000 0.000 0.000
Cd: 0.750 0.750 0.750

Properties
Symmetry ... F-43m, No. 216
Crystal system ... cubic
Energy relative to the elements ... -642 meV/atom